Entry 1:
CrBSbI2: optimized geometry, PBE.

## Properties
- DOS at the Fermi energy (states/eV per atom) = 1.440
- space group = No. 123
- volume (A^3/atom) = 24.17
- energy relative to the elements, uncorrected (eV per atom) = 1.50

abc: 4.9456 4.9456 4.9418
angles: 90.00 90.00 90.00
Atoms (fractional coordinates):
I1 0.5000 0.0000 0.0000
I2 0.0000 0.5000 0.0000
Cr1 0.5000 0.5000 0.5000
Sb1 0.0000 0.0000 0.5000
B1 0.0000 0.0000 0.0000

Entry 2:
Cr2Os2Pt: optimized geometry, PBE.

## Properties
- DOS at the Fermi energy (states/eV per atom) = 0.825
- space group = No. 127
- formation energy (eV/atom) = 0.1423
- volume (A^3/atom) = 13.94

abc: 7.1395 7.1395 2.7353
angles: 90.00 90.00 90.00
Atoms (fractional coordinates):
Pt1 0.5000 0.5000 0.0000
Pt2 0.0000 0.0000 0.0000
Os1 0.8373 0.3373 0.5000
Os2 0.1627 0.6627 0.5000
Os3 0.3373 0.1627 0.5000
Os4 0.6627 0.8373 0.5000
Cr1 0.3697 0.8697 0.0000
Cr2 0.1303 0.3697 0.0000
Cr3 0.8697 0.6303 0.0000
Cr4 0.6303 0.1303 0.0000

Entry 3:
Tm3AlZn4: optimized geometry, PBE.

## Properties
- DOS at the Fermi energy (states/eV per atom) = 0.740
- space group = No. 71
- formation energy (eV/atom) = -0.1536
- volume (A^3/atom) = 22.06

abc: 3.5244 6.0905 8.9443
angles: 109.91 101.36 90.00
Atoms (fractional coordinates):
Tm1 0.7806 0.7806 0.5612
Tm2 0.0000 0.5000 0.0000
Tm3 0.2194 0.2194 0.4388
Zn1 0.3793 0.1616 0.7585
Zn2 0.3793 0.5969 0.7585
Zn3 0.6207 0.4031 0.2415
Zn4 0.6207 0.8384 0.2415
Al1 0.5000 0.0000 0.0000

Entry 4:
BaCdCu2: optimized geometry, PBE.

## Properties
- DOS at the Fermi energy (states/eV per atom) = 0.309
- space group = No. 12
- formation energy (eV/atom) = 0.2526
- volume (A^3/atom) = 25.16

abc: 8.1408 5.0045 4.0190
angles: 89.93 60.52 128.01
Atoms (fractional coordinates):
Cd1 0.5000 0.5000 0.0000
Ba1 0.0000 0.5000 0.5000
Cu1 0.0000 0.0000 0.0000
Cu2 0.5000 0.0000 0.5000

Entry 5:
TiSnS2N: optimized geometry, PBE.

## Properties
- DOS at the Fermi energy (states/eV per atom) = 0.844
- space group = No. 123
- volume (A^3/atom) = 19.80
- energy relative to the elements, uncorrected (eV per atom) = 0.66

abc: 5.0317 5.0317 3.9094
angles: 90.00 90.00 90.00
Atoms (fractional coordinates):
S1 0.5000 0.0000 0.0000
S2 0.0000 0.5000 0.0000
N1 0.0000 0.0000 0.5000
Ti1 0.5000 0.5000 0.5000
Sn1 0.0000 0.0000 0.0000

Entry 6:
Li2PrCu3: optimized geometry, PBE.

## Properties
- DOS at the Fermi energy (states/eV per atom) = 0.587
- space group = No. 191
- formation energy (eV/atom) = -0.0320
- volume (A^3/atom) = 16.50

abc: 5.4065 5.4065 7.8215
angles: 90.00 90.00 120.00
Atoms (fractional coordinates):
Cu1 0.4999 0.4999 0.2500
Cu2 0.0000 0.4999 0.7500
Cu3 0.0000 0.5001 0.2500
Cu4 0.5001 0.5001 0.7500
Cu5 0.4999 0.0000 0.7500
Cu6 0.5001 0.0000 0.2500
Pr1 0.0000 0.0000 0.0000
Pr2 0.0000 0.0000 0.5000
Li1 0.3333 0.6667 0.5000
Li2 0.3333 0.6667 0.0000
Li3 0.6667 0.3333 0.5000
Li4 0.6667 0.3333 0.0000

Entry 7:
Th4Co7Ge6: optimized geometry, PBE.

## Properties
- DOS at the Fermi energy (states/eV per atom) = 0.456
- space group = No. 229
- formation energy (eV/atom) = -0.5278
- volume (A^3/atom) = 17.34

abc: 7.2611 7.2611 7.2611
angles: 109.47 109.47 109.47
Atoms (fractional coordinates):
Th1 0.0000 0.0000 0.5000
Th2 0.5000 0.5000 0.5000
Th3 0.0000 0.5000 0.0000
Th4 0.5000 0.0000 0.0000
Co1 0.5000 0.7500 0.2500
Co2 0.5000 0.2500 0.7500
Co3 0.2500 0.5000 0.7500
Co4 0.7500 0.5000 0.2500
Co5 0.7500 0.2500 0.5000
Co6 0.0000 0.0000 0.0000
Co7 0.2500 0.7500 0.5000
Ge1 0.0000 0.6635 0.6635
Ge2 0.6635 0.0000 0.6635
Ge3 0.0000 0.3365 0.3365
Ge4 0.3365 0.3365 0.0000
Ge5 0.6635 0.6635 0.0000
Ge6 0.3365 0.0000 0.3365

Entry 8:
Pa6As2P3Se: optimized geometry, PBE.

## Properties
- DOS at the Fermi energy (states/eV per atom) = 1.291
- space group = No. 12
- volume (A^3/atom) = 23.10
- energy relative to the elements, uncorrected (eV per atom) = -1.24

abc: 3.9904 8.1313 9.0374
angles: 103.91 102.75 90.00
Atoms (fractional coordinates):
P1 0.5000 0.5000 0.0000
P2 0.1668 0.8328 0.3336
P3 0.8332 0.1672 0.6664
Pa1 0.3295 0.9248 0.6591
Pa2 0.6638 0.5907 0.3276
Pa3 0.0036 0.7399 0.0072
Pa4 0.3362 0.4093 0.6724
Pa5 0.6705 0.0752 0.3409
Pa6 0.9964 0.2601 0.9928
As1 0.8336 0.6674 0.6673
As2 0.1664 0.3326 0.3327
Se1 0.5000 0.0000 0.0000

Entry 9:
PmMg2GaPd4: optimized geometry, PBE.

## Properties
- DOS at the Fermi energy (states/eV per atom) = 0.570
- space group = No. 166
- formation energy (eV/atom) = -0.6926
- volume (A^3/atom) = 17.98

abc: 4.5702 4.5702 8.3790
angles: 74.17 74.17 60.00
Atoms (fractional coordinates):
Pm1 0.0000 0.0000 0.0000
Mg1 0.7573 0.7573 0.7281
Mg2 0.2427 0.2427 0.2719
Ga1 0.5000 0.5000 0.5000
Pd1 0.6051 0.6051 0.1846
Pd2 0.3949 0.3949 0.8154
Pd3 0.8705 0.8705 0.3886
Pd4 0.1295 0.1295 0.6114

Entry 10:
YMnBe2: optimized geometry, PBE.

## Properties
- DOS at the Fermi energy (states/eV per atom) = 0.860
- space group = No. 166
- formation energy (eV/atom) = 0.0266
- volume (A^3/atom) = 15.91

abc: 3.8899 3.8899 5.3504
angles: 68.72 68.72 59.99
Atoms (fractional coordinates):
Be1 0.5560 0.5560 0.3320
Be2 0.9440 0.9440 0.1680
Mn1 0.2500 0.2500 0.2500
Y1 0.7500 0.7500 0.7500

Entry 11:
NdGd2Rh: optimized geometry, PBE.

## Properties
- DOS at the Fermi energy (states/eV per atom) = 1.120
- space group = No. 166
- formation energy (eV/atom) = -0.3284
- volume (A^3/atom) = 30.11

abc: 3.8288 3.8288 9.7419
angles: 78.67 78.67 60.00
Atoms (fractional coordinates):
Rh1 0.0000 0.0000 0.0000
Nd1 0.5000 0.5000 0.5000
Gd1 0.7257 0.7257 0.8228
Gd2 0.2743 0.2743 0.1772

Entry 12:
Sr2DyTaN4: optimized geometry, PBE.

## Properties
- DOS at the Fermi energy (states/eV per atom) = 0.021
- space group = No. 74
- volume (A^3/atom) = 14.89
- energy relative to the elements, uncorrected (eV per atom) = -1.10

abc: 6.9638 6.9638 7.0676
angles: 120.50 120.49 90.20
Atoms (fractional coordinates):
N1 0.2442 0.2559 0.4575
N2 0.7336 0.3000 0.5168
N3 0.7559 0.7442 0.9575
N4 0.7558 0.7441 0.5425
N5 0.2664 0.7000 0.4832
N6 0.2441 0.2558 0.0425
N7 0.2000 0.7664 0.9832
N8 0.8000 0.2336 0.0168
Sr1 0.0000 0.0000 0.5000
Sr2 0.5000 0.5000 0.0000
Sr3 0.5000 0.0000 0.5000
Sr4 0.5000 0.0000 0.0000
Dy1 0.0000 0.5000 0.0000
Dy2 0.0000 0.5000 0.5000
Ta1 0.5000 0.5000 0.5000
Ta2 0.0000 0.0000 0.0000

Entry 13:
AcPmRu: optimized geometry, PBE.

## Properties
- DOS at the Fermi energy (states/eV per atom) = 0.762
- space group = No. 216
- formation energy (eV/atom) = -0.1199
- volume (A^3/atom) = 30.25

abc: 5.0442 5.0442 5.0442
angles: 60.00 60.00 60.00
Atoms (fractional coordinates):
Pm1 0.0000 0.0000 0.0000
Ac1 0.5000 0.5000 0.5000
Ru1 0.2500 0.2500 0.2500

Entry 14:
RbAu: optimized geometry, PBE.

## Properties
- DOS at the Fermi energy (states/eV per atom) = 0.000
- space group = No. 216
- formation energy (eV/atom) = -0.1631
- volume (A^3/atom) = 61.43

abc: 7.8917 7.8916 7.8916
angles: 90.00 90.00 90.00
Atoms (fractional coordinates):
Au1 0.0000 0.5000 0.5000
Au2 0.0000 0.0000 0.0000
Au3 0.5000 0.5000 0.0000
Au4 0.5000 0.0000 0.5000
Rb1 0.2500 0.7500 0.7500
Rb2 0.2500 0.2500 0.2500
Rb3 0.7500 0.7500 0.2500
Rb4 0.7500 0.2500 0.7500

Entry 15:
Mn2CdCu: optimized geometry, PBE.

## Properties
- DOS at the Fermi energy (states/eV per atom) = 0.798
- space group = No. 139
- formation energy (eV/atom) = 0.2973
- volume (A^3/atom) = 15.35

abc: 4.8226 4.8226 4.8226
angles: 131.62 131.62 70.83
Atoms (fractional coordinates):
Mn1 0.5000 0.5000 0.0000
Mn2 0.0000 0.0000 0.0000
Cu1 0.7500 0.2500 0.5000
Cd1 0.2500 0.7500 0.5000

Entry 16:
CdAu2Cl: optimized geometry, PBE.

## Properties
- DOS at the Fermi energy (states/eV per atom) = 1.122
- space group = No. 225
- volume (A^3/atom) = 20.60
- energy relative to the elements, uncorrected (eV per atom) = 0.25

abc: 4.8845 4.8845 4.8845
angles: 60.00 60.00 60.00
Atoms (fractional coordinates):
Au1 0.2500 0.2500 0.2500
Au2 0.7500 0.7500 0.7500
Cd1 0.5000 0.5000 0.5000
Cl1 0.0000 0.0000 0.0000

Entry 17:
Cu2Te: optimized geometry, PBE.

## Properties
- DOS at the Fermi energy (states/eV per atom) = 0.578
- space group = No. 63
- volume (A^3/atom) = 19.11
- energy relative to the elements, uncorrected (eV per atom) = 0.02

abc: 8.1681 8.1681 3.7420
angles: 90.00 90.00 152.67
Atoms (fractional coordinates):
Cu1 0.9420 0.0580 0.0000
Cu2 0.8357 0.1643 0.5000
Cu3 0.4453 0.5547 0.5000
Cu4 0.3325 0.6675 0.0000
Te1 0.0558 0.9442 0.5000
Te2 0.7219 0.2781 0.0000

Entry 18:
ReTc2OF: optimized geometry, PBE.

## Properties
- DOS at the Fermi energy (states/eV per atom) = 1.411
- space group = No. 123
- volume (A^3/atom) = 14.52
- energy relative to the elements, uncorrected (eV per atom) = 1.76

abc: 4.2673 3.9870 4.2673
angles: 90.00 90.00 90.00
Atoms (fractional coordinates):
Re1 0.0000 0.5000 0.0000
O1 0.5000 0.5000 0.5000
Tc1 0.5000 0.0000 0.0000
Tc2 0.0000 0.0000 0.5000
F1 0.0000 0.0000 0.0000

Entry 19:
Mg2FeTc: optimized geometry, PBE.

## Properties
- DOS at the Fermi energy (states/eV per atom) = 0.736
- space group = No. 6
- formation energy (eV/atom) = 0.2318
- volume (A^3/atom) = 15.75

abc: 4.3199 2.7319 5.4479
angles: 78.53 90.00 90.00
Atoms (fractional coordinates):
Mg1 0.5000 0.2616 0.2675
Mg2 0.0000 0.9699 0.9865
Tc1 0.0000 0.5645 0.5222
Fe1 0.5000 0.7040 0.7238

Entry 20:
MnZn2Ag: optimized geometry, PBE.

## Properties
- DOS at the Fermi energy (states/eV per atom) = 0.437
- space group = No. 71
- formation energy (eV/atom) = 0.1247
- volume (A^3/atom) = 15.59

abc: 5.1385 5.1385 5.1385
angles: 144.18 127.31 65.36
Atoms (fractional coordinates):
Ag1 0.7500 0.2500 0.5000
Zn1 0.4970 0.4970 0.0000
Zn2 0.0030 0.0030 0.0000
Mn1 0.2500 0.7500 0.5000